(1)
5
Lattice="5.122 0.000 0.000 0.000 5.122 0.000 0.000 0.000 4.580" Properties=species:S:1:pos:R:3 comment="LiTl2RhN GGA-PBEsol optimized geometry" e_form_raw_ev_per_fu=5.04 density_kg_m3=7360 m_tot_mub_per_fu=2.0 pbc="T T T"
Li 0.000 0.000 0.000
Tl 0.000 2.561 2.290
Tl 2.561 0.000 2.290
Rh 0.000 0.000 2.290
N 2.561 2.561 0.000

(2)
8
Lattice="7.161 0.000 0.000 0.000 4.132 0.000 -2.367 0.000 8.659" Properties=species:S:1:pos:R:3 comment="Sr2ReTc GGA-PBEsol optimized geometry" energy_ha_per_atom=-0.2460 density_kg_m3=5955 m_tot_mub_per_fu=0.0 pbc="T T T"
Sr 0.000 0.000 0.000
Sr -0.002 0.000 4.600
Sr 3.580 2.066 0.000
Sr 3.578 2.066 4.600
Re 2.386 0.000 2.458
Re 5.966 2.066 2.458
Tc 1.192 2.066 2.143
Tc 4.773 0.000 2.143

(3)
28
Lattice="5.911 0.000 0.000 -2.955 5.119 0.000 0.000 0.000 9.653" Properties=species:S:1:pos:R:3 comment="Li2Mn3NbO8 GGA-PBEsol optimized geometry" e_form_raw_ev_per_fu=-27.53 density_kg_m3=4543 m_tot_mub_per_fu=12.0 relative_energy_ev_per_atom=0.000 pbc="T T T"
Li 0.000 0.000 0.000
Li 0.000 0.000 4.827
Li 0.000 3.413 0.810
Li 2.955 1.706 5.636
Mn -1.472 4.215 7.461
Mn 0.041 1.736 7.461
Mn 1.483 0.904 2.634
Mn 1.431 4.286 7.461
Mn 4.387 0.833 2.634
Mn 2.997 3.383 2.634
Nb 0.000 3.413 4.796
Nb 2.955 1.706 9.622
O 0.000 0.000 1.833
O 0.000 0.000 6.660
O -1.196 2.435 6.203
O -1.588 4.075 3.853
O 0.221 1.706 3.853
O 1.367 1.044 8.679
O 0.000 3.413 8.385
O -0.248 4.937 6.203
O 2.707 0.182 1.377
O 1.444 2.866 6.203
O 1.760 2.684 1.377
O 2.955 1.706 3.559
O 1.367 4.457 3.853
O 4.323 0.662 8.679
O 3.176 3.413 8.679
O 4.400 2.253 1.377

(4)
8
Lattice="3.969 0.000 0.000 0.000 3.969 0.000 0.000 0.000 7.144" Properties=species:S:1:pos:R:3 comment="YBe2Tc GGA-PBEsol optimized geometry" density_kg_m3=6048 m_tot_mub_per_fu=0.0 relative_energy_ev_per_atom=0.000 pbc="T T T"
Y 0.000 0.000 0.000
Y 1.984 1.984 3.572
Be 0.000 1.984 1.786
Be 0.000 1.984 5.358
Be 1.984 0.000 1.786
Be 1.984 0.000 5.358
Tc 0.000 0.000 3.572
Tc 1.984 1.984 0.000

(5)
5
Lattice="6.085 0.000 0.000 0.000 6.085 0.000 0.000 0.000 6.759" Properties=species:S:1:pos:R:3 comment="BaPdIBr2 GGA-PBEsol optimized geometry" e_form_raw_ev_per_fu=-1.49 density_kg_m3=3520 m_tot_mub_per_fu=1.1 pbc="T T T"
Ba 0.000 0.000 0.000
Pd 3.043 3.043 3.379
I 0.000 0.000 3.379
Br 0.000 3.043 0.000
Br 3.043 0.000 0.000

(6)
3
Lattice="4.057 0.000 0.000 -2.029 3.514 0.000 0.000 0.000 2.497" Properties=species:S:1:pos:R:3 comment="Fe2Tc GGA-PBEsol optimized geometry" density_kg_m3=9781 m_tot_mub_per_fu=3.9 relative_energy_ev_per_atom=0.108 pbc="T T T"
Fe 0.000 2.343 0.317
Fe 2.029 1.171 2.180
Tc 0.000 0.000 1.249

(7)
5
Lattice="5.323 0.000 0.000 0.000 5.323 0.000 0.000 0.000 4.692" Properties=species:S:1:pos:R:3 comment="Y2PtSCl GGA-PBEsol optimized geometry" e_form_raw_ev_per_fu=-3.18 density_kg_m3=5500 m_tot_mub_per_fu=0.0 pbc="T T T"
Y 0.000 2.662 0.000
Y 2.662 0.000 0.000
Pt 0.000 0.000 0.000
S 0.000 0.000 2.346
Cl 2.662 2.662 2.346

(8)
5
Lattice="4.692 0.000 0.000 0.000 4.692 0.000 0.000 0.000 4.693" Properties=species:S:1:pos:R:3 comment="ZnGa2MoRu GGA-PBEsol optimized geometry" energy_ha_per_atom=-0.1698 density_kg_m3=6459 m_tot_mub_per_fu=2.5 pbc="T T T"
Zn 0.000 0.000 0.000
Ga 0.000 2.346 2.346
Ga 2.346 0.000 2.346
Mo 0.000 0.000 2.346
Ru 2.346 2.346 0.000

(9)
5
Lattice="5.347 0.000 0.000 0.000 5.347 0.000 0.000 0.000 5.347" Properties=species:S:1:pos:R:3 comment="FeHI3 GGA-PBEsol optimized geometry" energy_ha_per_atom=-0.1074 density_kg_m3=4753 m_tot_mub_per_fu=4.9 pbc="T T T"
Fe 0.000 0.000 0.000
H 2.673 2.673 2.673
I 0.000 0.000 2.673
I 0.000 2.673 0.000
I 2.673 0.000 0.000

(10)
5
Lattice="4.643 0.000 0.000 0.000 4.643 0.000 0.000 0.000 4.643" Properties=species:S:1:pos:R:3 comment="Ti3ZnBi GGA-PBEsol optimized geometry" energy_ha_per_atom=-0.2117 density_kg_m3=6936 m_tot_mub_per_fu=0.0 pbc="T T T"
Ti 0.000 0.000 2.321
Ti 0.000 2.321 0.000
Ti 2.321 0.000 0.000
Zn 0.000 0.000 0.000
Bi 2.321 2.321 2.321

(11)
5
Lattice="4.836 0.000 0.000 0.000 4.836 0.000 0.000 0.000 4.418" Properties=species:S:1:pos:R:3 comment="LiZnCrSn2 GGA-PBEsol optimized geometry" energy_ha_per_atom=-0.1408 density_kg_m3=5813 m_tot_mub_per_fu=4.4 pbc="T T T"
Li 0.000 0.000 0.000
Zn 0.000 0.000 2.209
Cr 2.418 2.418 2.209
Sn 0.000 2.418 0.000
Sn 2.418 0.000 0.000

(12)
4
Lattice="3.069 0.000 0.000 0.000 3.069 0.000 0.000 0.000 5.650" Properties=species:S:1:pos:R:3 comment="CrInNi2 GGA-PBEsol optimized geometry" energy_ha_per_atom=-0.2287 density_kg_m3=8867 m_tot_mub_per_fu=2.5 pbc="T T T"
Cr 0.000 0.000 0.000
In 1.535 1.535 1.811
Ni 0.000 0.000 3.279
Ni 1.535 1.535 4.599

(13)
8
Lattice="3.605 0.000 0.000 0.000 3.605 0.000 0.000 0.000 6.556" Properties=species:S:1:pos:R:3 comment="CuSiNi2 GGA-PBEsol optimized geometry" e_form_raw_ev_per_fu=-1.64 density_kg_m3=8149 m_tot_mub_per_fu=0.0 pbc="T T T"
Cu 0.000 0.000 0.000
Cu 1.802 1.802 3.278
Si 0.000 0.000 3.278
Si 1.802 1.802 0.000
Ni 0.000 1.802 1.639
Ni 0.000 1.802 4.917
Ni 1.802 0.000 1.639
Ni 1.802 0.000 4.917

(14)
8
Lattice="4.880 0.000 0.000 0.000 4.880 0.000 0.000 0.000 4.880" Properties=species:S:1:pos:R:3 comment="AlV6Sb GGA-PBEsol optimized geometry" e_form_raw_ev_per_fu=-1.47 density_kg_m3=6494 m_tot_mub_per_fu=0.0 pbc="T T T"
Al 0.000 0.000 0.000
V 0.000 1.164 2.440
V 0.000 3.715 2.440
V 1.164 2.440 0.000
V 2.440 0.000 1.164
V 2.440 0.000 3.715
V 3.715 2.440 0.000
Sb 2.440 2.440 2.440

(15)
4
Lattice="3.342 0.000 0.000 0.000 3.342 0.000 0.000 0.000 7.969" Properties=species:S:1:pos:R:3 comment="Y2RuBr GGA-PBEsol optimized geometry" e_form_raw_ev_per_fu=-3.03 density_kg_m3=6693 m_tot_mub_per_fu=0.0 relative_energy_ev_per_atom=0.029 pbc="T T T"
Y 0.000 0.000 1.657
Y 0.000 0.000 6.313
Ru 1.671 1.671 0.000
Br 1.671 1.671 3.985

(16)
10
Lattice="3.842 0.000 0.000 0.000 3.842 0.000 0.000 0.000 12.248" Properties=species:S:1:pos:R:3 comment="Zn2CdAu2 GGA-PBEsol optimized geometry" density_kg_m3=11702 m_tot_mub_per_fu=0.0 relative_energy_ev_per_atom=0.177 pbc="T T T"
Zn 0.000 0.000 1.208
Zn 0.000 0.000 11.040
Zn 1.921 1.921 4.916
Zn 1.921 1.921 7.332
Cd 0.000 0.000 6.124
Cd 1.921 1.921 0.000
Au 0.000 1.921 3.062
Au 0.000 1.921 9.186
Au 1.921 0.000 3.062
Au 1.921 0.000 9.186

(17)
28
Lattice="3.873 -5.796 0.000 3.873 5.796 0.000 -3.753 0.000 8.732" Properties=species:S:1:pos:R:3 comment="K3P2HO6F2 GGA-PBEsol optimized geometry" energy_ha_per_atom=-0.2249 density_kg_m3=2662 m_tot_mub_per_fu=0.0 pbc="T T T"
K 0.067 1.505 3.300
K 1.996 4.289 4.366
K -1.810 -1.505 7.666
K 3.907 1.596 1.648
K 2.031 -1.596 6.014
K 3.873 -4.289 0.000
P 0.159 1.367 6.605
P 2.035 -1.367 2.238
P 3.903 1.371 5.428
P 5.779 -1.371 1.062
H 2.970 0.004 3.832
H 1.094 -0.004 8.198
O 1.668 3.131 1.788
O 0.396 2.664 5.882
O -0.126 0.129 5.794
O 1.750 -0.129 1.428
O 1.182 1.116 7.750
O 2.882 1.124 4.280
O -0.208 -3.131 6.154
O 2.272 -2.664 1.516
O 3.059 -1.116 3.384
O 1.005 -1.124 8.646
O 4.187 0.130 6.235
O 6.063 -0.130 1.869
F 3.272 4.164 0.200
F -1.204 1.625 7.472
F 0.672 -1.625 3.106
F 1.396 -4.164 4.566

(18)
8
Lattice="3.580 0.000 0.000 0.000 3.799 0.000 0.000 0.000 20.447" Properties=species:S:1:pos:R:3 comment="KY2Ir GGA-PBEsol optimized geometry" density_kg_m3=4886 m_tot_mub_per_fu=0.0 relative_energy_ev_per_atom=0.163 pbc="T T T"
K 0.000 0.000 0.000
K 1.790 1.899 10.223
Y 0.000 0.000 6.731
Y 0.000 1.899 3.657
Y 1.790 0.000 13.881
Y 1.790 1.899 16.955
Ir 0.000 1.899 14.962
Ir 1.790 0.000 4.739

(19)
6
Lattice="0.000 4.384 4.384 4.384 0.000 4.384 4.384 4.384 0.000" Properties=species:S:1:pos:R:3 comment="KYMg4 GGA-PBEsol optimized geometry" energy_ha_per_atom=-0.0861 density_kg_m3=2219 m_tot_mub_per_fu=0.0 pbc="T T T"
K 0.000 0.000 0.000
Y 6.576 6.576 6.576
Mg 3.299 3.299 3.299
Mg 5.469 5.469 3.299
Mg 5.469 3.299 5.469
Mg 3.299 5.469 5.469

(20)
4
Lattice="3.201 0.000 0.000 0.000 3.201 0.000 0.000 0.000 7.564" Properties=species:S:1:pos:R:3 comment="ZrSc2Ni GGA-PBEsol optimized geometry" density_kg_m3=5137 m_tot_mub_per_fu=0.0 relative_energy_ev_per_atom=0.044 pbc="T T T"
Zr 0.000 0.000 0.000
Sc 0.000 0.000 3.044
Sc 1.601 1.601 5.466
Ni 1.601 1.601 1.606

Volume for the records above, in order: 120 128 146 56 250 36 133 103 153 100 103 53 43 116 89 90 196 139 169 78 Å³/f.u.